# 1
Entry from Alexandria: an optimized crystal structure of Cu2HgBr2 (GGA-PBE).

Magnetization ... 0.00 μB per atom
Symmetry ... I4/mmm, No. 139
Distance to the lowest polymorph of the same formula ... 0.0286 eV/atom
DOS at the Fermi energy ... 0.00 states/eV/cell

Cell and atoms, written as POSCAR:
```
Cu2HgBr2
1.0
3.8576 0.0000 0.0000
0.0000 3.8576 0.0000
1.9288 1.9288 9.7129
Cu Hg Br
2 1 2
Cartesian
3.8576 1.9288 4.8565 Cu
1.9288 3.8576 4.8565 Cu
0.0000 0.0000 0.0000 Hg
1.9288 1.9288 3.2252 Br
3.8576 3.8576 6.4877 Br
```

# 2
Entry from Alexandria: an optimized crystal structure of Cu2Hg2Br7 (GGA-PBE).

Magnetization ... 0.10 μB per atom
Symmetry ... C2/m, No. 12
Distance to the lowest polymorph of the same formula ... 0.0393 eV/atom
DOS at the Fermi energy ... 8.70 states/eV/cell

Cell and atoms, written as POSCAR:
```
Cu2Hg2Br7
1.0
-5.6117 0.7903 4.4512
-1.0705 -6.3556 -4.0228
5.7068 -3.0994 3.9433
Cu Hg Br
2 2 7
Cartesian
-1.3758 -1.4378 1.7582 Cu
0.4005 -7.2269 2.6134 Cu
3.6205 -4.1018 1.4910 Hg
1.0159 -5.3532 -1.5705 Hg
-1.9657 -7.2598 2.0420 Br
-1.3474 -2.5282 -0.4182 Br
0.9904 -1.4049 2.3297 Br
0.3721 -6.1366 4.7898 Br
-2.8058 0.3951 2.2256 Br
1.0315 -5.1751 1.2379 Br
-2.0068 -3.4896 3.1338 Br
```

# 3
Entry from Alexandria: an optimized crystal structure of CuHgBr2 (GGA-PBE).

Magnetization ... 0.00 μB per atom
Symmetry ... C2/m, No. 12
Distance to the lowest polymorph of the same formula ... 0.2574 eV/atom
DOS at the Fermi energy ... 0.74 states/eV/cell

Cell and atoms, written as POSCAR:
```
CuHgBr2
1.0
7.1751 -0.1339 -0.2478
-3.7391 4.5378 0.1248
-0.3031 2.0222 3.7415
Br Cu Hg
2 1 1
Cartesian
0.0000 0.0000 0.0000 Br
3.4360 0.9441 1.7468 Br
-2.0211 3.2800 1.9331 Cu
1.7180 2.2020 -0.0615 Hg
```

# 4
Entry from Alexandria: an optimized crystal structure of CuHgBr2 (GGA-PBE).

Magnetization ... 0.17 μB per atom
Symmetry ... Cmmm, No. 65
Distance to the lowest polymorph of the same formula ... 0.0247 eV/atom
DOS at the Fermi energy ... 2.43 states/eV/cell

Cell and atoms, written as POSCAR:
```
CuHgBr2
1.0
-1.8653 3.1628 -2.4769
-1.1293 -4.1652 0.9969
-5.0683 3.2946 8.0238
Br Cu Hg
2 1 1
Cartesian
-0.4215 0.2740 0.6674 Br
-2.1126 1.3733 3.3445 Br
-2.7644 0.3225 1.2659 Cu
-5.2985 1.9697 5.2778 Hg
```

# 5
Entry from Alexandria: an optimized crystal structure of CuHgBr4 (GGA-PBE).

Magnetization ... 0.06 μB per atom
Symmetry ... F-43m, No. 216
Distance to the lowest polymorph of the same formula ... 1.0222 eV/atom
DOS at the Fermi energy ... 7.91 states/eV/cell

Cell and atoms, written as POSCAR:
```
CuHgBr4
1.0
-1.0381 -5.9566 1.8415
1.5925 -1.8262 5.8377
-4.5005 -1.2529 4.2574
Cu Hg Br
1 1 4
Cartesian
-2.9596 -6.7768 8.9525 Cu
0.0000 0.0000 0.0000 Hg
-1.9988 -6.3660 5.3972 Br
-3.7294 -4.0150 6.6047 Br
-0.6840 -4.3016 7.3946 Br
-1.4800 -3.3888 4.4768 Br
```

# 6
Entry from Alexandria: an optimized crystal structure of CuHgBr2 (GGA-PBE).

Magnetization ... 0.00 μB per atom
Symmetry ... P4mm, No. 99
Distance to the lowest polymorph of the same formula ... 0.3164 eV/atom
DOS at the Fermi energy ... 2.40 states/eV/cell

Cell and atoms, written as POSCAR:
```
CuHgBr2
1.0
-2.9443 0.5669 2.0721
1.5123 -1.9500 2.6823
3.3960 6.7365 2.9826
Br Cu Hg
2 1 1
Cartesian
3.0872 6.1240 2.7114 Br
0.5039 1.7284 3.4486 Br
1.7130 3.3980 1.5045 Cu
1.7538 4.2077 4.5464 Hg
```

# 7
Entry from Alexandria: an optimized crystal structure of CuHgBr2 (GGA-PBE).

Magnetization ... 0.00 μB per atom
Symmetry ... R3m, No. 160
Distance to the lowest polymorph of the same formula ... 0.0690 eV/atom
DOS at the Fermi energy ... 3.64 states/eV/cell

Cell and atoms, written as POSCAR:
```
CuHgBr2
1.0
8.7692 0.0540 0.0323
7.8631 3.8824 0.0323
7.8631 1.8609 3.4074
Br Cu Hg
2 1 1
Cartesian
0.6900 0.1633 0.0978 Br
5.1161 1.2108 0.7252 Br
12.2167 2.8913 1.7316 Cu
18.7203 4.4305 2.6535 Hg
```

# 8
Entry from Alexandria: an optimized crystal structure of CuHgBr2 (GGA-PBE).

Magnetization ... 0.00 μB per atom
Symmetry ... F-43m, No. 216
Distance to the lowest polymorph of the same formula ... 0.6193 eV/atom
DOS at the Fermi energy ... 3.86 states/eV/cell

Cell and atoms, written as POSCAR:
```
CuHgBr2
1.0
5.1351 0.0000 0.0000
2.5675 4.4471 0.0000
2.5675 1.4824 4.1928
Br Cu Hg
2 1 1
Cartesian
0.0000 0.0000 0.0000 Br
2.5675 1.4824 1.0482 Br
5.1351 2.9647 2.0964 Cu
7.7026 4.4471 3.1446 Hg
```

# 9
Entry from Alexandria: an optimized crystal structure of Cu2HgBr3 (GGA-PBE).

Magnetization ... 0.00 μB per atom
Symmetry ... C2/m, No. 12
DOS at the Fermi energy ... 2.79 states/eV/cell
DFT total energy ... -2.501 eV per atom

Cell and atoms, written as POSCAR:
```
Cu2HgBr3
1.0
3.9989 0.0000 0.0000
-1.9995 8.1543 -4.3888
0.0000 -0.0042 11.2903
Cu Hg Br
4 2 6
Cartesian
0.0000 6.4373 4.1179 Cu
1.9995 1.7128 2.7836 Cu
1.9995 4.4044 -1.4702 Cu
0.0000 3.7457 8.3717 Cu
1.9994 7.1458 6.0040 Hg
0.0000 1.0043 0.8975 Hg
0.0000 4.8919 5.9691 Br
1.9994 7.0215 2.9166 Br
1.9994 2.3699 8.3028 Br
0.0000 5.7802 -1.4013 Br
0.0000 1.1286 3.9849 Br
1.9995 3.2582 0.9324 Br
```

# 10
Entry from Alexandria: an optimized crystal structure of CuHgBr2 (GGA-PBE).

Magnetization ... 0.00 μB per atom
Symmetry ... Imm2, No. 44
Distance to the lowest polymorph of the same formula ... 0.1895 eV/atom
DOS at the Fermi energy ... 2.57 states/eV/cell

Cell and atoms, written as POSCAR:
```
CuHgBr2
1.0
-5.3716 5.1588 -4.5094
-7.9426 3.5532 -0.3010
7.6069 -2.2521 3.5867
Br Cu Hg
2 1 1
Cartesian
-13.2979 8.7013 -4.8045 Br
-1.9704 3.4740 -1.5770 Br
-5.9457 3.8905 -2.1481 Cu
-4.4647 3.4621 0.0905 Hg
```

# 11
Entry from Alexandria: an optimized crystal structure of CuHgBr4 (GGA-PBE).

Magnetization ... 0.18 μB per atom
Symmetry ... P-42c, No. 112
Distance to the lowest polymorph of the same formula ... 0.0000 eV/atom
DOS at the Fermi energy ... 1.68 states/eV/cell

Cell and atoms, written as POSCAR:
```
CuHgBr4
1.0
6.7314 0.0000 0.0000
0.0000 6.7314 0.0000
0.0000 0.0000 8.9313
Cu Hg Br
2 2 8
Cartesian
0.0000 3.3657 2.2328 Cu
3.3657 0.0000 6.6984 Cu
0.0000 0.0000 0.0000 Hg
0.0000 0.0000 4.4656 Hg
1.8024 1.5690 7.6370 Br
4.9290 5.1624 7.6370 Br
1.5690 1.8024 3.1713 Br
1.8024 5.1624 5.7599 Br
4.9290 1.5690 5.7599 Br
1.5690 4.9290 1.2943 Br
5.1624 1.8024 1.2943 Br
5.1624 4.9290 3.1713 Br
```

# 12
Entry from Alexandria: an optimized crystal structure of Cu4HgBr (GGA-PBE).

Magnetization ... 0.00 μB per atom
Symmetry ... F-43m, No. 216
DOS at the Fermi energy ... 3.62 states/eV/cell
DFT total energy ... -2.756 eV per atom

Cell and atoms, written as POSCAR:
```
Cu4HgBr
1.0
-3.1353 -0.4430 4.0815
0.3783 3.3405 3.9221
-3.7245 3.4920 0.7870
Cu Hg Br
4 1 1
Cartesian
-2.1933 2.2516 5.0975 Cu
-4.2356 2.3271 3.5369 Cu
-4.0473 3.9899 5.4893 Cu
-2.4866 4.2104 3.4575 Cu
-1.6204 1.5974 2.1977 Hg
0.0000 0.0000 0.0000 Br
```

# 13
Entry from Alexandria: an optimized crystal structure of CuHgBr2 (GGA-PBE).

Magnetization ... 0.00 μB per atom
Symmetry ... Pmmm, No. 47
Distance to the lowest polymorph of the same formula ... 0.2665 eV/atom
DOS at the Fermi energy ... 1.41 states/eV/cell

Cell and atoms, written as POSCAR:
```
CuHgBr2
1.0
-0.3322 -1.4977 3.6838
-5.3372 -4.7380 -2.4076
2.7536 -2.6753 -0.8394
Br Cu Hg
2 1 1
Cartesian
0.0000 0.0000 0.0000 Br
-2.8347 -3.1179 0.6381 Br
1.2107 -2.0865 1.4222 Cu
-1.2918 -3.7066 -1.6235 Hg
```

# 14
Entry from Alexandria: an optimized crystal structure of CuHgBr2 (GGA-PBE).

Magnetization ... 0.00 μB per atom
Symmetry ... P4/mmm, No. 123
Distance to the lowest polymorph of the same formula ... 0.4345 eV/atom
DOS at the Fermi energy ... 1.71 states/eV/cell

Cell and atoms, written as POSCAR:
```
CuHgBr2
1.0
-1.0791 -3.9704 3.0527
4.9597 -1.2812 0.0869
0.4925 2.1039 2.9105
Br Cu Hg
2 1 1
Cartesian
0.0000 0.0000 0.0000 Br
1.9403 -2.6258 1.5698 Br
-0.2933 -0.9333 2.9816 Cu
2.7261 0.4113 1.4987 Hg
```

# 15
Entry from Alexandria: an optimized crystal structure of Cu2HgBr2 (GGA-PBE).

Magnetization ... 0.00 μB per atom
Symmetry ... C2/m, No. 12
Distance to the lowest polymorph of the same formula ... 0.0000 eV/atom

Cell and atoms, written as POSCAR:
```
Cu2HgBr2
1.0
-1.7766 -3.6672 -0.1290
6.3451 -3.0574 -0.4701
2.3647 0.7664 10.0703
Cu Hg Br
4 2 4
Cartesian
1.4815 -3.2466 7.4661 Cu
5.4518 -2.7117 2.0050 Cu
1.3026 -2.9714 2.1063 Cu
5.6306 -2.9869 7.3649 Cu
1.1459 -2.9901 4.7973 Hg
5.7874 -2.9682 4.6739 Hg
5.7871 -5.3458 7.8456 Br
1.1462 -0.6125 1.6256 Br
3.4391 -3.9899 1.6368 Br
3.4942 -1.9684 7.8344 Br
```

# 16
Entry from Alexandria: an optimized crystal structure of Cu2HgBr2 (GGA-PBE).

Magnetization ... 0.00 μB per atom
Symmetry ... P4/mbm, No. 127
Distance to the lowest polymorph of the same formula ... 0.2326 eV/atom
DOS at the Fermi energy ... 0.00 states/eV/cell

Cell and atoms, written as POSCAR:
```
Cu2HgBr2
1.0
-3.4113 9.6595 -0.1477
-6.4469 -2.1596 7.6641
2.9998 1.1027 2.8341
Cu Hg Br
4 2 4
Cartesian
-4.7347 1.7624 7.5450 Cu
-5.7254 6.8317 6.6212 Cu
-2.1237 6.8402 2.8056 Cu
-1.1330 1.7710 3.7293 Cu
0.0000 0.0000 0.0000 Hg
-4.9291 3.7500 3.7582 Hg
-6.7363 1.5927 6.5104 Br
-7.0709 6.8818 4.8066 Br
-3.1219 5.9072 1.0060 Br
-2.7874 0.6182 2.7098 Br
```

# 17
Entry from Alexandria: an optimized crystal structure of Cu2HgBr2 (GGA-PBE).

Magnetization ... 0.00 μB per atom
Symmetry ... I4/mmm, No. 139
Distance to the lowest polymorph of the same formula ... 0.1313 eV/atom
DOS at the Fermi energy ... 0.18 states/eV/cell

Cell and atoms, written as POSCAR:
```
Cu2HgBr2
1.0
5.0822 0.0000 0.0000
0.0000 5.0822 0.0000
2.5411 2.5411 6.3448
Cu Hg Br
2 1 2
Cartesian
2.5411 2.5411 3.7006 Cu
5.0822 5.0822 2.6441 Cu
0.0000 0.0000 0.0000 Hg
5.0822 2.5411 3.1724 Br
2.5411 5.0822 3.1724 Br
```

# 18
Entry from Alexandria: an optimized crystal structure of CuHgBr4 (GGA-PBE).

Magnetization ... 0.15 μB per atom
Symmetry ... P4_2/mmc, No. 131
Distance to the lowest polymorph of the same formula ... 0.0337 eV/atom
DOS at the Fermi energy ... 4.50 states/eV/cell

Cell and atoms, written as POSCAR:
```
CuHgBr4
1.0
7.5433 0.0000 0.0000
0.0000 7.5433 0.0000
0.0000 0.0000 9.7287
Cu Hg Br
2 2 8
Cartesian
0.0000 3.7716 0.0000 Cu
3.7716 0.0000 4.8644 Cu
0.0000 0.0000 4.8644 Hg
0.0000 0.0000 0.0000 Hg
5.4668 1.7487 4.8644 Br
5.7945 2.0765 0.0000 Br
5.4668 5.7945 4.8644 Br
1.7487 5.4668 0.0000 Br
2.0765 5.7945 4.8644 Br
1.7487 2.0765 0.0000 Br
5.7945 5.4668 0.0000 Br
2.0765 1.7487 4.8644 Br
```

# 19
Entry from Alexandria: an optimized crystal structure of Cu2Hg2Br (GGA-PBE).

Magnetization ... 0.00 μB per atom
Symmetry ... I4/mmm, No. 139
Distance to the lowest polymorph of the same formula ... 0.0000 eV/atom
DOS at the Fermi energy ... 2.49 states/eV/cell

Cell and atoms, written as POSCAR:
```
Cu2Hg2Br
1.0
3.5724 0.0000 0.0000
0.0000 3.5724 0.0000
1.7862 1.7862 8.3722
Cu Hg Br
2 2 1
Cartesian
3.5724 1.7862 4.1861 Cu
1.7862 3.5724 4.1861 Cu
1.7862 1.7862 2.0989 Hg
3.5724 3.5724 6.2733 Hg
0.0000 0.0000 0.0000 Br
```

# 20
Entry from Alexandria: an optimized crystal structure of CuHg4Br (GGA-PBE).

Magnetization ... 0.00 μB per atom
Symmetry ... F-43m, No. 216
DOS at the Fermi energy ... 4.60 states/eV/cell
DFT total energy ... -0.820 eV per atom

Cell and atoms, written as POSCAR:
```
CuHg4Br
1.0
3.2130 -2.6083 4.4998
-2.8120 -3.5624 4.0959
0.9582 -6.0379 -0.0311
Cu Hg Br
1 4 1
Cartesian
0.0000 0.0000 0.0000 Cu
2.1205 -5.8817 5.4651 Hg
0.9897 -7.6016 3.1930 Hg
-0.9010 -6.3602 5.2626 Hg
0.5092 -4.5737 3.2086 Hg
1.0194 -9.1564 6.4235 Br
```